Compound: VInBr2F
Source: the Alexandria database
Functional: PBE+U
Structure: optimized geometry

a = 5.4898 Å, b = 5.4898 Å, c = 4.1403 Å
α = 90.00°, β = 90.00°, γ = 90.00°
Closest atoms and distances in Å follow each position.
Element x y z (fractional)
V 0.0000 0.0000 0.0000  2 F 2.07
Br 0.0000 0.5000 0.0000  2 V 2.74
Br 0.5000 0.0000 0.0000  2 V 2.74
F 0.0000 0.0000 0.5000  2 V 2.07
In 0.5000 0.5000 0.5000  8 Br 3.44

Computed properties:
* space-group type: P4/mmm, No. 123
* spin magnetization: 0.6000 μB/atom
* ρ: 4.59 g cm⁻³
* VASP energy: -21.68 eV for the cell shown